An optimized crystal structure of TaNb2Rh5, computed with PBE.

Properties
The crystal system is orthorhombic. For the formation energy, the calculation gives -0.467 eV/atom.

abc: 5.598 11.154 3.996
angles: 90.00 90.00 90.00
Space group Pbam (No. 55)
Unique sites:
Ta: 0.000 0.000 0.000 x2
Nb: 0.204 0.361 0.500 x4
Rh: 0.000 0.500 0.000 x2
Rh: 0.030 0.753 0.000 x4
Rh: 0.224 0.117 0.500 x4